1.
# Li2CeCu10 PBE optimized geometry
# Calculated volume   710 Å³/cell
# Spin magnetization   0.48 μB/f.u.
data_Li2CeCu10
_symmetry_space_group_name_H-M 'F m m m'
_symmetry_Int_Tables_number 69
_symmetry_space_group_name_Hall '-F 2 2'
_cell_length_a 4.798
_cell_length_b 11.989
_cell_length_c 12.335
_cell_angle_alpha 90.00
_cell_angle_beta 90.00
_cell_angle_gamma 90.00
loop_
_atom_site_label
_atom_site_fract_x
_atom_site_fract_y
_atom_site_fract_z
Li1 0.250 0.000 0.250
Ce1 0.000 0.000 0.000
Cu1 0.000 0.111 0.386
Cu2 0.000 0.182 0.176
Cu3 0.250 0.250 0.000

=====

2.
# KSbTeSe PBE optimized geometry
# Calculated volume   134 Å³/cell
# Spin magnetization   0.00 μB/f.u.
# ΔE_f (raw)   -0.5951 eV per atom
data_KSbTeSe
_symmetry_space_group_name_H-M 'P 3 m 1'
_symmetry_Int_Tables_number 156
_cell_length_a 4.3485
_cell_length_b 4.3485
_cell_length_c 8.1657
_cell_angle_alpha 90.00
_cell_angle_beta 90.00
_cell_angle_gamma 120.00
loop_
_symmetry_equiv_pos_as_xyz
'x,y,z'
'-y,x-y,z'
'-x+y,-x,z'
'-y,-x,z'
'-x+y,y,z'
'x,x-y,z'
loop_
_atom_site_label
_atom_site_fract_x
_atom_site_fract_y
_atom_site_fract_z
K1 0.0000 0.0000 0.0000
Sb1 0.0000 0.0000 0.4657
Te1 0.6667 0.3333 0.6850
Se1 0.3333 0.6667 0.2736

=====

VASP energy values, unit eV/cell, following the record order: -204.1 -14.2.